[1]
The following is a PBE calculation of an optimized crystal structure of MgNb2CdH, from Alexandria.

Computed properties:
Calculated total energy ... -26.00 eV for the cell shown
M_tot ... 0.00 μB/f.u.

a = 4.045 Å, b = 4.045 Å, c = 4.762 Å
α = 90.00°, β = 90.00°, γ = 90.00°
Fractional positions:
H1 0.000 0.000 0.000
Nb1 0.000 0.500 0.000
Nb2 0.500 0.000 0.000
Mg1 0.000 0.000 0.500
Cd1 0.500 0.500 0.500

[2]
The following is a PBE calculation of an optimized crystal structure of Pr4ZnHg, from Alexandria.

Computed properties:
Calculated total energy ... -20.92 eV for the cell shown
Formation energy ... -37.9 meV per atom
E above lowest polymorph ... 208 meV/atom
M_tot ... 0.00 μB/f.u.

a = 5.224 Å, b = 5.225 Å, c = 7.366 Å
α = 89.98°, β = 89.99°, γ = 90.00°
Fractional positions:
Pr1 0.501 0.997 0.259
Pr2 0.501 0.998 0.737
Pr3 0.001 0.497 0.737
Pr4 0.001 0.497 0.260
Zn1 0.001 0.997 0.498
Hg1 0.501 0.497 0.998

[3]
The following is a PBE calculation of an optimized crystal structure of LiY2Ag, from Alexandria.

Computed properties:
Calculated total energy ... -17.38 eV for the cell shown
Formation energy ... 78.9 meV per atom
E above lowest polymorph ... 203 meV/atom
M_tot ... 0.00 μB/f.u.

a = 10.561 Å, b = 10.561 Å, c = 10.561 Å
α = 18.65°, β = 18.65°, γ = 18.65°
Fractional positions:
Ag1 0.250 0.250 0.250
Li1 0.750 0.750 0.750
Y1 0.995 0.995 0.995
Y2 0.505 0.505 0.505

[4]
The following is a PBE calculation of an optimized crystal structure of Mg3SbRh4, from Alexandria.

Computed properties:
Calculated total energy ... -43.26 eV for the cell shown
M_tot ... 0.00 μB/f.u.

a = 4.452 Å, b = 4.452 Å, c = 7.687 Å
α = 73.17°, β = 73.17°, γ = 60.00°
Fractional positions:
Sb1 0.000 0.000 0.000
Mg1 0.245 0.245 0.265
Mg2 0.755 0.755 0.735
Mg3 0.500 0.500 0.500
Rh1 0.878 0.878 0.366
Rh2 0.372 0.372 0.883
Rh3 0.122 0.122 0.634
Rh4 0.628 0.628 0.117